one:
This record from Alexandria via LeMat-Bulk describes Ba2CaLa after structural relaxation. The functional is PBE-GGA.

a b c (Å): 7.666 7.666 7.666
angles (deg): 145.53 129.33 62.73
Fractional coordinates of all 4 atoms:
Ba: 0.249 0.249 0.000
Ba: 0.751 0.751 0.000
Ca: 0.500 0.000 0.500
La: 0.000 0.500 0.500

D(E_F): 1.077 states/eV per atom
M_tot: 0.0 μB/cell
symmetry: Immm

two:
This record from Alexandria via LeMat-Bulk describes Ba2CaLa after structural relaxation. The functional is PBE-GGA.

a b c (Å): 4.562 6.543 6.549
angles (deg): 90.00 90.00 90.00
Fractional coordinates of all 4 atoms:
Ba: 0.000 0.000 0.000
Ba: 0.500 0.000 0.500
Ca: 0.000 0.500 0.500
La: 0.500 0.500 0.000

D(E_F): 1.288 states/eV per atom
M_tot: 0.0 μB/cell
symmetry: Pmmm

Winner for stability: one

one:
This record from Alexandria via LeMat-Bulk describes Ba2CaLa after structural relaxation. The functional is PBE-GGA.

a b c (Å): 13.776 13.776 13.776
angles (deg): 16.98 16.98 16.98
Fractional coordinates of all 4 atoms:
Ba: 0.000 0.000 0.000
Ba: 0.170 0.170 0.170
Ca: 0.752 0.752 0.752
La: 0.585 0.585 0.585

D(E_F): 1.441 states/eV per atom
M_tot: 0.0 μB/cell
symmetry: R3m

two:
This record from Alexandria via LeMat-Bulk describes Ba2CaLa after structural relaxation. The functional is PBE-GGA.

a b c (Å): 7.163 7.163 7.163
angles (deg): 132.25 132.25 69.83
Fractional coordinates of all 4 atoms:
Ba: 0.250 0.750 0.500
Ba: 0.750 0.250 0.500
Ca: 0.000 0.000 0.000
La: 0.500 0.500 0.000

D(E_F): 2.017 states/eV per atom
M_tot: 0.7 μB/cell
symmetry: I4/mmm

three:
This record from Alexandria via LeMat-Bulk describes Ba2CaLa after structural relaxation. The functional is PBE-GGA.

a b c (Å): 3.970 3.970 13.206
angles (deg): 90.00 90.00 109.96
Fractional coordinates of all 4 atoms:
Ba: 0.000 0.000 0.246
Ba: 0.000 0.000 0.754
Ca: 0.500 0.500 0.500
La: 0.500 0.500 0.000

D(E_F): 1.259 states/eV per atom
M_tot: 0.0 μB/cell
symmetry: Cmmm

Winner for stability: one